First-principles (PBE) data for Dy2Zn2O5 after structural relaxation, as listed in OQMD via LeMat-Bulk.

Values from the calculation:
- calculated density (Mg/m³) = 6.6
- polymorph energy (0 for the lowest one) (meV per atom) = 354
- E (eV/atom) = -5.89
- magnetization (μB per cell) = 0.27

a b c (Å): 8.6249 3.9427 3.9427
angles (deg): 90.00 90.00 90.00
With the nearest neighbours (Å) after each atom.
Sites, in units of the cell vectors:
Dy 0.2437 0.5000 0.5000  5 O 2.15-2.21
Dy 0.7563 0.5000 0.5000  5 O 2.15-2.21
O 0.1454 0.5000 0.0000  2 Dy 2.15, 2 Zn 2.34
O 0.8546 0.5000 0.0000  2 Dy 2.15, 2 Zn 2.34
O 0.1454 0.0000 0.5000  2 Dy 2.15, 2 Zn 2.34
O 0.8546 0.0000 0.5000  2 Dy 2.15, 2 Zn 2.34
O 0.5000 0.5000 0.5000  2 Dy 2.21
Zn 0.0000 0.0000 0.0000  8 O 2.34
Zn 0.5000 0.0000 0.0000  4 O 2.79

***

First-principles (PBE) data for BaCd2HgGe after structural relaxation, as listed in OQMD via LeMat-Bulk.

Values from the calculation:
- calculated density (Mg/m³) = 7.7
- polymorph energy (0 for the lowest one) (meV per atom) = 0
- E (eV/atom) = -2.10

a b c (Å): 7.0231 7.0231 7.0231
angles (deg): 140.91 140.91 56.47
With the nearest neighbours (Å) after each atom.
Sites, in units of the cell vectors:
Ba 0.0041 0.0041 0.0000  4 Ge 3.59, 4 Hg 3.61, 8 Cd 3.80-3.97
Cd 0.7454 0.2454 0.5000  2 Ge 2.85, 2 Hg 2.96
Cd 0.2454 0.7454 0.5000  2 Ge 2.85, 2 Hg 2.96
Ge 0.6145 0.6145 0.0000  1 Hg 2.77, 4 Cd 2.85
Hg 0.3905 0.3905 0.0000  1 Ge 2.77, 4 Cd 2.96

***

First-principles (PBE) data for Cu2Ag3 after structural relaxation, as listed in OQMD via LeMat-Bulk.

Values from the calculation:
- calculated density (Mg/m³) = 9.6
- polymorph energy (0 for the lowest one) (meV per atom) = 64
- E (eV/atom) = -3.09
- ΔE_f (eV/atom) = 0.10

a b c (Å): 4.8569 2.8510 11.3843
angles (deg): 90.00 96.95 90.00
With the nearest neighbours (Å) after each atom.
Sites, in units of the cell vectors:
Ag 0.9008 0.5000 0.1879  9 Ag 2.78-2.90, 3 Cu 2.80-2.95
Ag 0.3951 0.0000 0.2025  9 Ag 2.78-2.91, 3 Cu 2.79-2.96
Ag 0.8051 0.0000 0.4012  4 Cu 2.80-2.83, 8 Ag 2.83-2.90
Ag 0.2066 0.0000 0.6098  5 Cu 2.78-2.83, 7 Ag 2.80-2.88
Ag 0.7028 0.5000 0.6107  4 Cu 2.70-2.87, 8 Ag 2.80-2.87
Ag 0.4907 0.5000 0.9882  7 Cu 2.67-2.84, 5 Ag 2.84-2.91
Cu 0.3014 0.5000 0.4040  10 Ag 2.79-2.95, 2 Cu 2.85
Cu 0.6145 0.0000 0.8038  5 Cu 2.60-2.85, 5 Ag 2.67-2.78
Cu 0.0883 0.5000 0.8068  6 Cu 2.57-2.85, 4 Ag 2.67-2.78
Cu 0.9946 0.0000 0.9851  5 Cu 2.57-2.85, 6 Ag 2.80-2.84

***

First-principles (PBE) data for K2Zn after structural relaxation, as listed in OQMD via LeMat-Bulk.

Values from the calculation:
- calculated density (Mg/m³) = 0.6
- polymorph energy (0 for the lowest one) (meV per atom) = 160
- E (eV/atom) = -0.59

a b c (Å): 10.5491 10.5491 10.5491
angles (deg): 60.00 60.00 60.00
With the nearest neighbours (Å) after each atom.
Sites, in units of the cell vectors:
K 0.6250 0.6250 0.1250  2 Zn 3.23
K 0.6250 0.1250 0.6250  2 Zn 3.23
K 0.1250 0.6250 0.6250  2 Zn 3.23
K 0.6250 0.6250 0.6250  2 Zn 3.23
Zn 0.5000 0.5000 0.5000  4 K 3.23
Zn 0.7500 0.7500 0.7500  4 K 3.23

***

First-principles (PBE) data for Y2PdO4 after structural relaxation, as listed in OQMD via LeMat-Bulk.

Values from the calculation:
- calculated density (Mg/m³) = 6.2
- polymorph energy (0 for the lowest one) (meV per atom) = 0
- E (eV/atom) = -8.05
- magnetization (μB per cell) = 0.01

a b c (Å): 5.5648 5.5916 11.8967
angles (deg): 90.00 90.00 90.00
With the nearest neighbours (Å) after each atom.
Sites, in units of the cell vectors:
O 0.1784 0.3209 0.0098  2 Pd 2.05
O 0.3216 0.8209 0.0098  2 Pd 2.05
O 0.7579 0.2879 0.2439  4 Y 2.22-2.28
O 0.7421 0.7879 0.2439  4 Y 2.22-2.28
O 0.2579 0.2879 0.2561  4 Y 2.22-2.28
O 0.2421 0.7879 0.2561  4 Y 2.22-2.28
O 0.6784 0.3209 0.4902  2 Pd 2.05
O 0.8216 0.8209 0.4902  2 Pd 2.05
O 0.1784 0.1791 0.5098  2 Pd 2.05
O 0.3216 0.6791 0.5098  2 Pd 2.05
O 0.7579 0.2121 0.7439  4 Y 2.22-2.28
O 0.7421 0.7121 0.7439  4 Y 2.22-2.28
O 0.2579 0.2121 0.7561  4 Y 2.22-2.28
O 0.2421 0.7121 0.7561  4 Y 2.22-2.28
O 0.6784 0.1791 0.9902  2 Pd 2.05
O 0.8216 0.6791 0.9902  2 Pd 2.05
Pd 0.0000 0.0000 0.0000  4 O 2.05
Pd 0.5000 0.5000 0.0000  4 O 2.05
Pd 0.5000 0.0000 0.5000  4 O 2.05
Pd 0.0000 0.5000 0.5000  4 O 2.05
Y 0.4913 0.0374 0.1588  6 O 2.22-2.39
Y 0.0087 0.5374 0.1588  6 O 2.22-2.39
Y 0.9913 0.0374 0.3412  6 O 2.22-2.39
Y 0.5087 0.5374 0.3412  6 O 2.22-2.39
Y 0.4913 0.4626 0.6588  6 O 2.22-2.39
Y 0.0087 0.9626 0.6588  6 O 2.22-2.39
Y 0.9913 0.4626 0.8412  6 O 2.22-2.39
Y 0.5087 0.9626 0.8412  6 O 2.22-2.39

***

First-principles (PBE) data for GdInPb after structural relaxation, as listed in OQMD via LeMat-Bulk.

Values from the calculation:
- calculated density (Mg/m³) = 8.4
- E (eV/atom) = -3.79
- magnetization (μB per cell) = 0.03

a b c (Å): 11.4286 11.4286 11.4286
angles (deg): 159.09 159.09 29.73
With the nearest neighbours (Å) after each atom.
Sites, in units of the cell vectors:
Gd 0.2109 0.2109 0.0000  1 In 3.21, 5 Pb 3.36-3.38, 4 Gd 3.40
Gd 0.7891 0.7891 0.0000  1 In 3.21, 5 Pb 3.36-3.38, 4 Gd 3.40
In 0.0656 0.0656 0.0000  1 In 2.90, 1 Gd 3.21
In 0.9344 0.9344 0.0000  1 In 2.90, 1 Gd 3.21
Pb 0.3638 0.3638 0.0000  4 In 3.32, 5 Gd 3.36-3.38
Pb 0.6362 0.6362 0.0000  4 In 3.32, 5 Gd 3.36-3.38

***

First-principles (PBE) data for LiScFeSb after structural relaxation, as listed in OQMD via LeMat-Bulk.

Values from the calculation:
- calculated density (Mg/m³) = 6.1
- polymorph energy (0 for the lowest one) (meV per atom) = 0
- E (eV/atom) = -5.53
- magnetization (μB per cell) = 1.00

a b c (Å): 4.4476 4.4476 4.4476
angles (deg): 60.00 60.00 60.00
With the nearest neighbours (Å) after each atom.
Sites, in units of the cell vectors:
Fe 0.5000 0.5000 0.5000  4 Sb 2.72, 4 Sc 2.72
Li 0.0000 0.0000 0.0000  4 Sc 2.72, 4 Sb 2.72
Sb 0.2500 0.2500 0.2500  4 Fe 2.72, 4 Li 2.72
Sc 0.7500 0.7500 0.7500  4 Fe 2.72, 4 Li 2.72

***

First-principles (PBE) data for Na3TaO4 after structural relaxation, as listed in OQMD via LeMat-Bulk.

Values from the calculation:
- calculated density (Mg/m³) = 4.1
- E (eV/atom) = -6.73
- magnetization (μB per cell) = 0.00

a b c (Å): 7.2234 6.2332 5.5853
angles (deg): 90.00 90.00 90.00
With the nearest neighbours (Å) after each atom.
Sites, in units of the cell vectors:
Na 0.2454 0.6694 0.0120  4 O 2.25-2.30
Na 0.7546 0.6694 0.0120  4 O 2.25-2.30
Na 0.5000 0.1653 0.0126  4 O 2.29-2.32
Na 0.2546 0.3306 0.5120  4 O 2.25-2.30
Na 0.7454 0.3306 0.5120  4 O 2.25-2.30
Na 0.0000 0.8347 0.5126  4 O 2.29-2.32
O 0.0000 0.8850 0.1029  1 Ta 1.87
O 0.2138 0.3143 0.1039  1 Ta 1.88
O 0.7862 0.3143 0.1039  1 Ta 1.88
O 0.5000 0.8255 0.1675  1 Ta 1.86
O 0.5000 0.1150 0.6029  1 Ta 1.87
O 0.2862 0.6857 0.6039  1 Ta 1.88
O 0.7138 0.6857 0.6039  1 Ta 1.88
O 0.0000 0.1745 0.6675  1 Ta 1.86
Ta 0.0000 0.1711 0.0005  4 O 1.86-1.88
Ta 0.5000 0.8289 0.5005  4 O 1.86-1.88

***

Question: The lowest E belongs to which entry?
Answer: Y2PdO4

***

Question: Which of these has the lowest calculated density?
Answer: K2Zn

***

What did the fifth record say?
First-principles (PBE) data for Y2PdO4 after structural relaxation, as listed in OQMD via LeMat-Bulk.

Values from the calculation:
- calculated density (Mg/m³) = 6.2
- polymorph energy (0 for the lowest one) (meV per atom) = 0
- E (eV/atom) = -8.05
- magnetization (μB per cell) = 0.01

a b c (Å): 5.5648 5.5916 11.8967
angles (deg): 90.00 90.00 90.00
With the nearest neighbours (Å) after each atom.
Sites, in units of the cell vectors:
O 0.1784 0.3209 0.0098  2 Pd 2.05
O 0.3216 0.8209 0.0098  2 Pd 2.05
O 0.7579 0.2879 0.2439  4 Y 2.22-2.28
O 0.7421 0.7879 0.2439  4 Y 2.22-2.28
O 0.2579 0.2879 0.2561  4 Y 2.22-2.28
O 0.2421 0.7879 0.2561  4 Y 2.22-2.28
O 0.6784 0.3209 0.4902  2 Pd 2.05
O 0.8216 0.8209 0.4902  2 Pd 2.05
O 0.1784 0.1791 0.5098  2 Pd 2.05
O 0.3216 0.6791 0.5098  2 Pd 2.05
O 0.7579 0.2121 0.7439  4 Y 2.22-2.28
O 0.7421 0.7121 0.7439  4 Y 2.22-2.28
O 0.2579 0.2121 0.7561  4 Y 2.22-2.28
O 0.2421 0.7121 0.7561  4 Y 2.22-2.28
O 0.6784 0.1791 0.9902  2 Pd 2.05
O 0.8216 0.6791 0.9902  2 Pd 2.05
Pd 0.0000 0.0000 0.0000  4 O 2.05
Pd 0.5000 0.5000 0.0000  4 O 2.05
Pd 0.5000 0.0000 0.5000  4 O 2.05
Pd 0.0000 0.5000 0.5000  4 O 2.05
Y 0.4913 0.0374 0.1588  6 O 2.22-2.39
Y 0.0087 0.5374 0.1588  6 O 2.22-2.39
Y 0.9913 0.0374 0.3412  6 O 2.22-2.39
Y 0.5087 0.5374 0.3412  6 O 2.22-2.39
Y 0.4913 0.4626 0.6588  6 O 2.22-2.39
Y 0.0087 0.9626 0.6588  6 O 2.22-2.39
Y 0.9913 0.4626 0.8412  6 O 2.22-2.39
Y 0.5087 0.9626 0.8412  6 O 2.22-2.39

***

Copy entry 5 word for word.
First-principles (PBE) data for Y2PdO4 after structural relaxation, as listed in OQMD via LeMat-Bulk.

Values from the calculation:
- calculated density (Mg/m³) = 6.2
- polymorph energy (0 for the lowest one) (meV per atom) = 0
- E (eV/atom) = -8.05
- magnetization (μB per cell) = 0.01

a b c (Å): 5.5648 5.5916 11.8967
angles (deg): 90.00 90.00 90.00
With the nearest neighbours (Å) after each atom.
Sites, in units of the cell vectors:
O 0.1784 0.3209 0.0098  2 Pd 2.05
O 0.3216 0.8209 0.0098  2 Pd 2.05
O 0.7579 0.2879 0.2439  4 Y 2.22-2.28
O 0.7421 0.7879 0.2439  4 Y 2.22-2.28
O 0.2579 0.2879 0.2561  4 Y 2.22-2.28
O 0.2421 0.7879 0.2561  4 Y 2.22-2.28
O 0.6784 0.3209 0.4902  2 Pd 2.05
O 0.8216 0.8209 0.4902  2 Pd 2.05
O 0.1784 0.1791 0.5098  2 Pd 2.05
O 0.3216 0.6791 0.5098  2 Pd 2.05
O 0.7579 0.2121 0.7439  4 Y 2.22-2.28
O 0.7421 0.7121 0.7439  4 Y 2.22-2.28
O 0.2579 0.2121 0.7561  4 Y 2.22-2.28
O 0.2421 0.7121 0.7561  4 Y 2.22-2.28
O 0.6784 0.1791 0.9902  2 Pd 2.05
O 0.8216 0.6791 0.9902  2 Pd 2.05
Pd 0.0000 0.0000 0.0000  4 O 2.05
Pd 0.5000 0.5000 0.0000  4 O 2.05
Pd 0.5000 0.0000 0.5000  4 O 2.05
Pd 0.0000 0.5000 0.5000  4 O 2.05
Y 0.4913 0.0374 0.1588  6 O 2.22-2.39
Y 0.0087 0.5374 0.1588  6 O 2.22-2.39
Y 0.9913 0.0374 0.3412  6 O 2.22-2.39
Y 0.5087 0.5374 0.3412  6 O 2.22-2.39
Y 0.4913 0.4626 0.6588  6 O 2.22-2.39
Y 0.0087 0.9626 0.6588  6 O 2.22-2.39
Y 0.9913 0.4626 0.8412  6 O 2.22-2.39
Y 0.5087 0.9626 0.8412  6 O 2.22-2.39